DFT (GGA-PBE) results for a relaxed Pr2Zn3Au5 crystal.

For the formation energy, the calculation gives -511 kJ/mol of formula units. For the energy above the most stable polymorph in this dataset, the calculation gives 4 meV/atom.

The structure belongs to space group Cmc2_1 (No. 36); the cell edges are 4.5774, 24.8925 and 7.2613 Å and the angles 90.00°, 90.00° and 90.00°. The asymmetric unit holds Pr at (0.0000, 0.0222, 0.0000), Pr at (0.0000, 0.3229, 0.0469), Zn at (0.0000, 0.1114, 0.3083), Zn at (0.0000, 0.2771, 0.5808), Zn at (0.0000, 0.4507, 0.1899), Au at (0.0000, 0.1017, 0.6822), Au at (0.0000, 0.2024, 0.8707), Au at (0.0000, 0.2157, 0.2795), Au at (0.0000, 0.3816, 0.4814) and Au at (0.0000, 0.4468, 0.8104).


DFT (GGA-PBE) results for a relaxed DyHfIrPd crystal.

For the formation energy, the calculation gives -305 kJ/mol of formula units.

The structure belongs to space group F-43m (No. 216); the cell edges are 6.7589, 6.7589 and 6.7589 Å and the angles 90.00°, 90.00° and 90.00°. The asymmetric unit holds Dy at (0.0000, 0.0000, 0.0000), Hf at (0.0000, 0.0000, 0.5000), Ir at (0.2500, 0.2500, 0.2500) and Pd at (0.2500, 0.2500, 0.7500).


DFT (GGA-PBE) results for a relaxed Ba2ReRu crystal.

For the formation energy, the calculation gives 559 kJ/mol of formula units. For the energy above the most stable polymorph in this dataset, the calculation gives 1155 meV/atom.

The structure belongs to space group P4/mmm (No. 123); the cell edges are 5.9893, 5.9893 and 3.0580 Å and the angles 90.00°, 90.00° and 90.00°. The asymmetric unit holds Ba at (0.0000, 0.5000, 0.0000), Re at (0.0000, 0.0000, 0.5000) and Ru at (0.5000, 0.5000, 0.5000).


DFT (GGA-PBE) results for a relaxed Na2TlCl crystal.

For the energy above the most stable polymorph in this dataset, the calculation gives 67 meV/atom. As for the uncorrected formation energy: -0.77 eV per atom.

The structure belongs to space group R-3m (No. 166, hexagonal axes); the cell edges are 3.7287, 3.7287 and 29.1134 Å and the angles 90.00°, 90.00° and 120.00°. The asymmetric unit holds Na at (0.0000, 0.0000, 0.1064), Tl at (0.0000, 0.0000, 0.0000) and Cl at (0.0000, 0.0000, 0.5000).


DFT (GGA-PBE) results for a relaxed Pr2NdCu2Si2 crystal.

As for the uncorrected formation energy: -0.46 eV per atom.

The structure belongs to space group R-3m (No. 166, hexagonal axes); the cell edges are 4.1364, 4.1364 and 34.0885 Å and the angles 90.00°, 90.00° and 120.00°. The asymmetric unit holds Pr at (0.0000, 0.0000, 0.1193), Nd at (0.0000, 0.0000, 0.0000), Cu at (0.0000, 0.0000, 0.3947) and Si at (0.0000, 0.0000, 0.2728).


DFT (GGA-PBE) results for a relaxed SrAg2Rh crystal.

For the formation energy, the calculation gives -3 kJ/mol of formula units. For the energy above the most stable polymorph in this dataset, the calculation gives 70 meV/atom.

The structure belongs to space group P4/mmm (No. 123); the cell edges are 4.2454, 4.2454 and 4.5336 Å and the angles 90.00°, 90.00° and 90.00°. The asymmetric unit holds Sr at (0.0000, 0.0000, 0.0000), Ag at (0.0000, 0.5000, 0.5000) and Rh at (0.5000, 0.5000, 0.0000).


DFT (GGA-PBE) results for a relaxed Ba2Ac4Hg3N2 crystal.

As for the uncorrected formation energy: -0.55 eV per atom.

The structure belongs to space group I4/mmm (No. 139); the cell edges are 5.2427, 5.2427 and 27.1393 Å and the angles 90.00°, 90.00° and 90.00°. The asymmetric unit holds Ba at (0.0000, 0.0000, 0.1966), Ac at (0.0000, 0.5000, 0.0808), Hg at (0.0000, 0.0000, 0.3323), Hg at (0.0000, 0.0000, 0.5000) and N at (0.0000, 0.0000, 0.0975).


DFT (GGA-PBE) results for a relaxed Fe2BiS crystal.

For the energy above the most stable polymorph in this dataset, the calculation gives 0 meV/atom. As for the uncorrected formation energy: 0.16 eV per atom.

The structure belongs to space group I-42d (No. 122); the cell edges are 4.6455, 4.6455 and 14.0545 Å and the angles 90.00°, 90.00° and 90.00°. The asymmetric unit holds Fe at (0.1018, 0.2500, 0.1250), Bi at (0.0000, 0.0000, 0.5000) and S at (0.0000, 0.0000, 0.0000).


DFT (GGA-PBE) results for a relaxed Eu3NbO7 crystal.

For the energy above the most stable polymorph in this dataset, the calculation gives 13 meV/atom. As for the uncorrected formation energy: -2.75 eV per atom.

The structure belongs to space group Cmcm (No. 63); the cell edges are 10.8669, 7.4618 and 7.7527 Å and the angles 90.00°, 90.00° and 90.00°. The asymmetric unit holds Eu at (0.0000, 0.0000, 0.0000), Eu at (0.2322, 0.2853, 0.2500), Nb at (0.0000, 0.5000, 0.0000), O at (0.0000, 0.4354, 0.2500), O at (0.1273, 0.3066, 0.5317) and O at (0.1321, 0.0206, 0.2500).


DFT (GGA-PBE) results for a relaxed GaAgS4 crystal.

As for the uncorrected formation energy: -0.18 eV per atom.

The structure belongs to space group P-1 (No. 2); the cell edges are 7.1097, 7.1496 and 7.2920 Å and the angles 97.96°, 115.54° and 114.00°. The asymmetric unit holds Ga at (0.2450, 0.3194, 0.1866), Ag at (0.2345, 0.7585, 0.5075), S at (0.1160, 0.7673, 0.1251), S at (0.1435, 0.3332, 0.4520), S at (0.3588, 0.0660, 0.1333) and S at (0.4321, 0.3389, 0.7133).


DFT (GGA-PBE) results for a relaxed PmNd8Er6 crystal.

For the formation energy, the calculation gives 236 kJ/mol of formula units. For the energy above the most stable polymorph in this dataset, the calculation gives 3 meV/atom.

The structure belongs to space group P-3 (No. 147); the cell edges are 9.9211, 9.9211 and 5.9353 Å and the angles 90.00°, 90.00° and 120.00°. The asymmetric unit holds Pm at (0.0000, 0.0000, 0.0000), Nd at (0.0524, 0.2765, 0.2748), Nd at (0.3333, 0.6667, 0.2768) and Er at (0.0934, 0.4728, 0.7595).


DFT (GGA-PBE) results for a relaxed Tm3In crystal.

For the formation energy, the calculation gives -84 kJ/mol of formula units.

The structure belongs to space group Imm2 (No. 44); the cell edges are 3.4422, 10.9830 and 5.8977 Å and the angles 90.00°, 90.00° and 90.00°. The asymmetric unit holds Tm at (0.0000, 0.0000, 0.0000), Tm at (0.0000, 0.2327, 0.3629) and In at (0.0000, 0.5000, 0.0316).


DFT (GGA-PBE) results for a relaxed Pm3Sm6YTh2 crystal.

For the formation energy, the calculation gives 34 kJ/mol of formula units.

The structure belongs to space group C2/m (No. 12); the cell edges are 6.2715, 10.8451 and 12.0277 Å and the angles 90.00°, 100.00° and 90.00°. The asymmetric unit holds Pm at (0.0000, 0.0000, 0.0000), Pm at (0.0000, 0.3333, 0.0000), Sm at (0.2443, 0.0000, 0.7459), Sm at (0.2493, 0.1688, 0.2544), Y at (0.0000, 0.5000, 0.5000) and Th at (0.0000, 0.1666, 0.5000).


DFT (GGA-PBE) results for a relaxed Tm3Ga4Ag crystal.

For the formation energy, the calculation gives -274 kJ/mol of formula units.

The structure belongs to space group Immm (No. 71); the cell edges are 3.4926, 6.2241 and 16.5308 Å and the angles 90.00°, 90.00° and 90.00°. The asymmetric unit holds Tm at (0.0000, 0.0000, 0.0000), Tm at (0.0000, 0.5000, 0.2185), Ga at (0.0000, 0.2814, 0.3782) and Ag at (0.0000, 0.0000, 0.5000).


DFT (GGA-PBE) results for a relaxed Cr3NiIr4 crystal.

For the formation energy, the calculation gives -129 kJ/mol of formula units.

The structure belongs to space group I4/mmm (No. 139); the cell edges are 3.8030, 3.8030 and 14.5619 Å and the angles 90.00°, 90.00° and 90.00°. The asymmetric unit holds Cr at (0.0000, 0.0000, 0.0000), Cr at (0.0000, 0.0000, 0.2533), Ni at (0.0000, 0.0000, 0.5000) and Ir at (0.0000, 0.5000, 0.1268).


DFT (GGA-PBE) results for a relaxed KB2Pb crystal.

For the formation energy, the calculation gives 616 kJ/mol of formula units. For the energy above the most stable polymorph in this dataset, the calculation gives 258 meV/atom.

The structure belongs to space group Fm-3m (No. 225); the cell edges are 6.7672, 6.7672 and 6.7672 Å and the angles 90.00°, 90.00° and 90.00°. The asymmetric unit holds K at (0.0000, 0.0000, 0.0000), B at (0.2500, 0.2500, 0.2500) and Pb at (0.0000, 0.0000, 0.5000).


DFT (GGA-PBE) results for a relaxed Sb2MoPd crystal.

As for the uncorrected formation energy: 0.19 eV per atom.

The structure belongs to space group Fm-3m (No. 225); the cell edges are 6.7649, 6.7649 and 6.7649 Å and the angles 90.00°, 90.00° and 90.00°. The asymmetric unit holds Sb at (0.2500, 0.2500, 0.2500), Mo at (0.0000, 0.0000, 0.0000) and Pd at (0.0000, 0.0000, 0.5000).


DFT (GGA-PBE) results for a relaxed RbBe2SnRu crystal.

For the formation energy, the calculation gives 1343 kJ/mol of formula units.

The structure belongs to space group P4/mmm (No. 123); the cell edges are 4.4307, 4.4307 and 5.4906 Å and the angles 90.00°, 90.00° and 90.00°. The asymmetric unit holds Rb at (0.0000, 0.0000, 0.0000), Be at (0.0000, 0.5000, 0.0000), Sn at (0.0000, 0.0000, 0.5000) and Ru at (0.5000, 0.5000, 0.5000).


DFT (GGA-PBE) results for a relaxed ScNiPd3 crystal.

For the formation energy, the calculation gives 346 kJ/mol of formula units. For the energy above the most stable polymorph in this dataset, the calculation gives 495 meV/atom.

The structure belongs to space group Pm-3m (No. 221); the cell edges are 4.6936, 4.6936 and 4.6936 Å and the angles 90.00°, 90.00° and 90.00°. The asymmetric unit holds Sc at (0.0000, 0.0000, 0.0000), Ni at (0.5000, 0.5000, 0.5000) and Pd at (0.0000, 0.0000, 0.5000).


DFT (GGA-PBE) results for a relaxed K2Rb4Na crystal.

For the formation energy, the calculation gives 28 kJ/mol of formula units. For the energy above the most stable polymorph in this dataset, the calculation gives 9 meV/atom.

The structure belongs to space group C2/m (No. 12); the cell edges are 23.1867, 4.6267 and 11.5826 Å and the angles 90.00°, 118.60° and 90.00°. The asymmetric unit holds K at (0.2171, 0.0000, 0.1470), Rb at (0.0773, 0.0000, 0.7235), Rb at (0.1323, 0.5000, 0.3873) and Na at (0.0000, 0.0000, 0.0000).


Number 1: ρ 11.7 g/cm³. Number 2: ρ 13.8 g/cm³. Number 3: ρ 8.5 g/cm³. Number 4: ρ 4.1 g/cm³. Number 5: ρ 6.0 g/cm³. Number 6: ρ 8.3 g/cm³. Number 7: ρ 8.1 g/cm³. Number 8: ρ 7.7 g/cm³. Number 9: ρ 7.0 g/cm³. Number 10: ρ 3.6 g/cm³. Number 11: ρ 7.6 g/cm³. Number 12: ρ 9.3 g/cm³. Number 13: ρ 7.8 g/cm³. Number 14: ρ 8.3 g/cm³. Number 15: ρ 15.5 g/cm³. Number 16: ρ 5.7 g/cm³. Number 17: ρ 9.6 g/cm³. Number 18: ρ 5.0 g/cm³. Number 19: ρ 6.8 g/cm³. Number 20: ρ 1.3 g/cm³.